Record 1
La2NdSi2Ag2 (PBE, optimized geometry); uncorrected formation energy = -0.41 eV per atom; N(E_F) = 3.417 states/eV/cell
1.0
-4.044 0.078 1.981
-0.331 -0.505 4.463
-0.729 9.276 3.267
Si Ag Nd La
2 2 1 2
Cartesian
-1.302 1.878 2.388
-3.802 6.972 7.323
-2.337 7.204 5.186
-2.767 1.646 4.526
0.000 0.000 0.000
-1.021 5.502 2.819
-4.083 3.348 6.893

---

Record 2
RbScZn3 (PBE, optimized geometry); N(E_F) = 5.592 states/eV/cell; energy of formation = 1175 meV per atom
1.0
5.638 0.000 0.000
0.000 5.638 0.000
0.000 0.000 5.638
Sc Zn Rb
1 3 1
Cartesian
2.819 2.819 2.819
0.000 0.000 2.819
0.000 2.819 0.000
2.819 0.000 0.000
0.000 0.000 0.000

---

Record 3
CdCoBr2 (PBE, optimized geometry); uncorrected formation energy = 0.42 eV per atom; N(E_F) = 6.987 states/eV/cell
1.0
-1.848 -3.975 -2.475
2.986 1.069 -3.909
2.498 -2.008 1.359
Cd Br Co
1 2 1
Cartesian
0.325 -2.991 -0.558
0.569 -1.453 -3.192
0.000 0.000 0.000
2.742 -0.469 -1.275

---

Record 4
Mg2CoIr (PBE, optimized geometry); N(E_F) = 5.197 states/eV/cell; energy of formation = -58 meV per atom
1.0
4.743 0.001 0.000
1.455 4.515 0.000
-3.099 -2.258 2.792
Mg Ir Co
2 1 1
Cartesian
0.000 0.000 0.000
3.099 2.258 0.000
2.372 0.000 1.396
0.728 2.257 1.396

---

Record 5
Zn4CrCl (PBE, optimized geometry); uncorrected formation energy = 0.28 eV per atom; N(E_F) = 3.411 states/eV/cell
1.0
0.000 3.760 3.760
3.760 0.000 3.760
3.760 3.760 0.000
Zn Cl Cr
4 1 1
Cartesian
2.812 2.812 2.812
4.709 2.812 4.709
2.812 4.709 4.709
4.709 4.709 2.812
5.640 5.640 5.640
0.000 0.000 0.000

---

Record 6
Er4C2N (PBE, optimized geometry); uncorrected formation energy = -0.56 eV per atom; N(E_F) = 5.325 states/eV/cell
1.0
-2.481 -2.289 -0.959
2.991 1.566 -5.055
7.469 -8.804 1.691
Er N C
8 2 4
Cartesian
5.994 -7.354 -4.373
2.574 -4.286 -2.850
1.985 -2.173 0.051
7.390 -7.581 -1.023
5.405 -5.241 -1.473
0.588 -1.945 -3.299
2.494 -5.546 0.366
-1.240 -1.144 -0.479
3.277 -1.861 -4.034
4.702 -7.665 -0.288
6.997 -9.053 -2.914
4.263 -5.831 -3.533
0.982 -0.474 -1.409
3.715 -3.696 -0.790

---

Record 7
Tl2RhCl (PBE, optimized geometry); uncorrected formation energy = -0.17 eV per atom; N(E_F) = 0.936 states/eV/cell
1.0
-0.400 -1.169 8.108
-1.554 -4.157 6.897
3.494 -1.341 -0.020
Rh Tl Cl
1 2 1
Cartesian
1.673 -4.949 10.617
2.931 -1.515 0.944
0.772 -1.972 4.130
0.428 -2.906 6.763

---

Record 8
Tb9Dy3Er2 (PBE, optimized geometry); N(E_F) = 24.281 states/eV/cell; energy of formation = 133 meV per atom
1.0
4.907 1.132 2.182
4.588 9.135 5.651
2.481 3.102 13.528
Dy Er Tb
3 2 9
Cartesian
10.477 11.602 18.746
7.069 12.236 19.178
1.499 1.767 2.614
6.708 7.698 8.531
5.268 5.671 12.829
3.376 4.154 4.061
8.206 10.135 10.801
9.916 10.273 13.788
4.959 5.110 6.908
2.061 3.095 7.572
8.442 7.251 11.772
7.017 8.258 14.453
3.771 3.234 10.559
8.600 9.215 17.300

---

Record 9
ScSiIr2 (PBE, optimized geometry); uncorrected formation energy = -0.66 eV per atom; N(E_F) = 1.510 states/eV/cell
1.0
3.763 0.000 0.000
0.000 3.044 -0.053
0.000 1.086 5.633
Ir Si Sc
2 1 1
Cartesian
0.000 3.562 5.545
0.000 2.634 2.825
1.881 3.098 4.185
1.881 1.033 1.395

---

Record 10
PaInFe2 (PBE, optimized geometry); N(E_F) = 1.450 states/eV/cell; energy of formation = 1 meV per atom
1.0
-3.325 -0.465 0.593
0.715 -4.305 0.634
0.662 0.743 4.296
Pa Fe In
1 2 1
Cartesian
-0.974 -2.013 2.762
0.331 0.372 2.148
0.357 -2.152 0.317
-1.663 -0.232 0.297

---

Record 11
Sr2MgTcO6 (PBE, optimized geometry); uncorrected formation energy = -2.35 eV per atom; N(E_F) = 7.361 states/eV/cell
1.0
-3.013 -4.651 1.087
4.491 -3.178 -1.148
2.208 0.366 7.626
Mg O Tc Sr
2 12 2 4
Cartesian
-1.506 -2.326 0.544
3.350 -1.406 3.239
0.129 -4.002 4.493
2.351 -5.781 3.931
2.547 -3.492 -0.373
3.558 -3.461 3.071
1.336 -1.682 3.634
4.747 -5.002 5.002
3.224 -5.652 7.410
1.140 -3.971 7.937
-1.060 -2.461 2.562
3.763 -1.518 5.266
-0.076 -5.945 2.298
0.463 -1.811 0.155
2.246 -1.589 -0.574
-0.402 -2.143 4.356
2.438 -3.685 5.680
1.249 -3.778 1.885
-1.301 -4.401 6.790
4.988 -3.062 0.774

---

Record 12
Nd4CoPt (PBE, optimized geometry); N(E_F) = 13.196 states/eV/cell; energy of formation = -394 meV per atom
1.0
6.510 0.145 0.000
-1.493 7.306 0.000
-2.508 -3.726 6.927
Co Nd Pt
2 8 2
Cartesian
0.881 3.689 6.824
1.628 0.036 0.103
-2.481 -1.634 6.122
4.990 5.360 0.805
-0.023 0.963 2.527
2.531 2.763 4.399
-0.774 1.562 6.122
-0.770 4.616 4.399
3.282 2.164 0.805
3.278 -0.890 2.527
0.881 3.689 1.910
1.628 0.036 5.017